The following is a PBE calculation of a relaxed SbTe2AsPt crystal, from the Alexandria database.

Unit cell a=5.340 b=5.340 c=5.138 alpha=90.00 beta=90.00 gamma=90.00
Space group P4/mmm (No. 123)
One atom of each set of equivalent atoms:
Sb  0.000  0.000  0.000 x1
Te  0.000  0.500  0.500 x2
As  0.500  0.500  0.000 x1
Pt  0.000  0.000  0.500 x1

Summary:
- spin magnetization (μB per formula unit) = 0.0
- E (eV per atom) = -3.66
- D(E_F) (states/eV per cell) = 6.32
- raw formation energy (eV/atom) = 0.56
- energy above the most stable polymorph in this dataset (kJ/mol of formula units) = 0